No. 1
First-principles (GGA-PBEsol) data for a relaxed Cs2CuBiI6 crystal, as listed in the Alexandria database.

Lattice parameters (Å, degrees): 8.256 8.256 8.256 60.00 60.00 60.00
Fractional positions:
Cs  0.750  0.750  0.750
Cs  0.250  0.250  0.250
I  0.738  0.262  0.262
I  0.738  0.738  0.262
I  0.262  0.738  0.738
I  0.738  0.262  0.738
I  0.262  0.738  0.262
I  0.262  0.262  0.738
Bi  0.000  0.000  0.000
Cu  0.500  0.500  0.500

Total magnetization: 0.000 μB per atom
Crystal system: cubic
Formation energy from raw total energies: -77.5 kJ per mole of atoms
Density of states at the Fermi level: 0.3 states/eV/cell
Volume: 398.0 Å³ per cell
Final energy: -29.1 eV per cell
Symmetry: Fm-3m, No. 225

***

No. 2
First-principles (GGA-PBEsol) data for a relaxed ScTcRh2 crystal, as listed in the Alexandria database.

Lattice parameters (Å, degrees): 2.806 4.663 4.663 106.71 90.00 90.00
Fractional positions:
Rh  0.000  0.500  0.000
Rh  0.000  0.000  0.500
Sc  0.500  0.000  0.000
Tc  0.500  0.500  0.500

Total magnetization: 0.000 μB per atom
Crystal system: orthorhombic
Density of states at the Fermi level: 3.9 states/eV/cell
Volume: 58.4 Å³ per cell
Formation energy from the elements: -0.37 eV/atom
Final energy: -35.6 eV per cell
Symmetry: Cmmm, No. 65

***

No. 3
First-principles (GGA-PBEsol) data for a relaxed Be2CdAs crystal, as listed in the Alexandria database.

Lattice parameters (Å, degrees): 4.444 4.444 4.444 60.00 60.00 60.00
Fractional positions:
Be  0.000  0.000  0.000
Be  0.250  0.250  0.250
As  0.500  0.500  0.500
Cd  0.750  0.750  0.750

Total magnetization: 0.000 μB per atom
Crystal system: cubic
Density of states at the Fermi level: 2.1 states/eV/cell
Volume: 62.0 Å³ per cell
Formation energy from the elements: 0.74 eV/atom
Final energy: -11.4 eV per cell
Symmetry: F-43m, No. 216

***

No. 4
First-principles (GGA-PBEsol) data for a relaxed LiAlPdF6 crystal, as listed in the Alexandria database.

Lattice parameters (Å, degrees): 4.986 4.986 9.049 90.00 90.00 120.00
Fractional positions:
Li  0.667  0.333  0.750
Li  0.333  0.667  0.250
Al  0.333  0.667  0.750
Al  0.667  0.333  0.250
Pd  0.000  0.000  0.000
Pd  0.000  0.000  0.500
F  0.629  0.974  0.862
F  0.371  0.345  0.362
F  0.974  0.629  0.362
F  0.655  0.026  0.362
F  0.345  0.974  0.638
F  0.345  0.371  0.862
F  0.026  0.655  0.862
F  0.026  0.371  0.638
F  0.655  0.629  0.138
F  0.629  0.655  0.638
F  0.371  0.026  0.138
F  0.974  0.345  0.138

Total magnetization: 0.222 μB per atom
Crystal system: trigonal
Formation energy from raw total energies: -249.9 kJ per mole of atoms
Volume: 194.9 Å³ per cell
Final energy: -93.8 eV per cell
Symmetry: P-31c, No. 163

***

No. 5
First-principles (GGA-PBEsol) data for a relaxed MnSi2Pd3 crystal, as listed in the Alexandria database.

Lattice parameters (Å, degrees): 3.445 6.452 11.151 90.39 90.00 90.00
Fractional positions:
Mn  0.500  0.104  0.511
Mn  0.500  0.598  0.993
Mn  0.500  0.207  0.799
Si  0.000  0.002  0.672
Si  0.000  0.492  0.171
Si  0.000  0.503  0.831
Si  0.000  0.996  0.327
Si  0.500  0.005  0.000
Si  0.500  0.511  0.501
Pd  0.500  0.688  0.300
Pd  0.500  0.700  0.699
Pd  0.500  0.192  0.198
Pd  0.000  0.270  0.998
Pd  0.000  0.780  0.497
Pd  0.000  0.367  0.628
Pd  0.000  0.855  0.127
Pd  0.000  0.873  0.872
Pd  0.000  0.358  0.375

Total magnetization: 0.546 μB per atom
Crystal system: monoclinic
Formation energy from raw total energies: -54.9 kJ per mole of atoms
Density of states at the Fermi level: 7.6 states/eV/cell
Volume: 247.8 Å³ per cell
Final energy: -127.6 eV per cell
Symmetry: Pm, No. 6

***

No. 6
First-principles (GGA-PBEsol) data for a relaxed ZnSnO2 crystal, as listed in the Alexandria database.

Lattice parameters (Å, degrees): 4.101 4.101 4.101 60.00 60.00 60.00
Fractional positions:
Zn  0.000  0.000  0.000
Sn  0.500  0.500  0.500
O  0.250  0.250  0.250
O  0.750  0.750  0.750

Total magnetization: 0.000 μB per atom
Crystal system: cubic
Formation energy from raw total energies: -44.9 kJ per mole of atoms
Density of states at the Fermi level: 2.2 states/eV/cell
Volume: 48.8 Å³ per cell
Final energy: -18.2 eV per cell
ΔE to the lowest computed polymorph: 0.807 eV per atom
Symmetry: Fm-3m, No. 225

***

No. 7
First-principles (GGA-PBEsol) data for a relaxed TeOsRu2 crystal, as listed in the Alexandria database.

Lattice parameters (Å, degrees): 3.001 4.450 5.326 114.69 106.36 90.00
Fractional positions:
Os  0.229  0.729  0.459
Ru  0.995  0.995  0.990
Ru  0.776  0.276  0.551
Te  0.500  0.500  0.000

Total magnetization: 0.001 μB per atom
Crystal system: orthorhombic
Formation energy from raw total energies: 59.3 kJ per mole of atoms
Density of states at the Fermi level: 5.1 states/eV/cell
Volume: 61.4 Å³ per cell
Final energy: -33.6 eV per cell
Symmetry: Imm2, No. 44

***

No. 8
First-principles (GGA-PBEsol) data for a relaxed CuReTc2 crystal, as listed in the Alexandria database.

Lattice parameters (Å, degrees): 3.755 3.789 3.789 90.00 90.00 90.00
Fractional positions:
Cu  0.500  0.500  0.500
Re  0.500  0.000  0.000
Tc  0.000  0.000  0.500
Tc  0.000  0.500  0.000

Total magnetization: 0.000 μB per atom
Crystal system: tetragonal
Density of states at the Fermi level: 3.4 states/eV/cell
Volume: 53.9 Å³ per cell
Formation energy from the elements: 0.22 eV/atom
Final energy: -39.3 eV per cell
ΔE to the lowest computed polymorph: 0.000 eV per atom
Symmetry: P4/mmm, No. 123

***

No. 9
First-principles (GGA-PBEsol) data for a relaxed LiFe2F7 crystal, as listed in the Alexandria database.

Lattice parameters (Å, degrees): 4.979 7.311 12.526 94.68 90.00 90.00
Fractional positions:
Li  0.752  0.184  0.913
Li  0.748  0.684  0.913
Li  0.252  0.316  0.087
Li  0.248  0.816  0.087
Fe  0.245  0.367  0.821
Fe  0.255  0.867  0.821
Fe  0.751  0.281  0.608
Fe  0.749  0.781  0.608
Fe  0.251  0.219  0.392
Fe  0.249  0.719  0.392
Fe  0.745  0.133  0.179
Fe  0.755  0.633  0.179
F  0.926  0.444  0.888
F  0.421  0.316  0.949
F  0.089  0.109  0.823
F  0.574  0.944  0.888
F  0.079  0.816  0.949
F  0.411  0.609  0.823
F  0.073  0.372  0.681
F  0.567  0.257  0.744
F  0.427  0.872  0.681
F  0.933  0.757  0.744
F  0.621  0.531  0.609
F  0.879  0.031  0.609
F  0.436  0.195  0.528
F  0.936  0.305  0.472
F  0.064  0.695  0.528
F  0.564  0.805  0.472
F  0.121  0.969  0.391
F  0.379  0.469  0.391
F  0.067  0.243  0.256
F  0.573  0.128  0.319
F  0.433  0.743  0.256
F  0.927  0.628  0.319
F  0.589  0.391  0.177
F  0.921  0.184  0.051
F  0.426  0.056  0.112
F  0.911  0.891  0.177
F  0.579  0.684  0.051
F  0.074  0.556  0.112

Total magnetization: 1.002 μB per atom
Crystal system: monoclinic
Formation energy from raw total energies: -219.5 kJ per mole of atoms
Density of states at the Fermi level: 0.9 states/eV/cell
Volume: 454.4 Å³ per cell
Final energy: -224.6 eV per cell
Symmetry: P2_1/c, No. 14

***

No. 10
First-principles (GGA-PBEsol) data for a relaxed Tm2AgAu crystal, as listed in the Alexandria database.

Lattice parameters (Å, degrees): 4.954 4.954 4.954 60.00 60.00 60.00
Fractional positions:
Tm  0.750  0.750  0.750
Tm  0.250  0.250  0.250
Au  0.000  0.000  0.000
Ag  0.500  0.500  0.500

Total magnetization: 0.000 μB per atom
Crystal system: cubic
Density of states at the Fermi level: 2.1 states/eV/cell
Volume: 86.0 Å³ per cell
Formation energy from the elements: -0.64 eV/atom
Final energy: -19.6 eV per cell
Symmetry: Fm-3m, No. 225

***

No. 11
First-principles (GGA-PBEsol) data for a relaxed CuSi2W2 crystal, as listed in the Alexandria database.

Lattice parameters (Å, degrees): 3.805 3.805 6.135 108.06 108.06 90.00
Fractional positions:
Cu  0.000  0.000  0.000
Si  0.601  0.601  0.201
Si  0.399  0.399  0.799
W  0.250  0.750  0.500
W  0.750  0.250  0.500

Total magnetization: 0.000 μB per atom
Crystal system: tetragonal
Formation energy from raw total energies: 37.1 kJ per mole of atoms
Density of states at the Fermi level: 0.5 states/eV/cell
Volume: 79.8 Å³ per cell
Final energy: -41.5 eV per cell
Symmetry: I4/mmm, No. 139

***

No. 12
First-principles (GGA-PBEsol) data for a relaxed Li2SbTe crystal, as listed in the Alexandria database.

Lattice parameters (Å, degrees): 3.212 4.863 6.110 108.19 105.24 90.00
Fractional positions:
Sb  0.493  0.622  0.986
Te  0.248  0.121  0.496
Li  0.005  0.136  0.010
Li  0.754  0.621  0.507

Total magnetization: 0.000 μB per atom
Crystal system: monoclinic
Formation energy from raw total energies: -49.5 kJ per mole of atoms
Density of states at the Fermi level: 0.8 states/eV/cell
Volume: 87.1 Å³ per cell
Final energy: -14.1 eV per cell
ΔE to the lowest computed polymorph: 0.000 eV per atom
Symmetry: Cm, No. 8

***

No. 13
First-principles (GGA-PBEsol) data for a relaxed InAg3 crystal, as listed in the Alexandria database.

Lattice parameters (Å, degrees): 2.992 5.010 5.044 100.36 107.26 90.00
Fractional positions:
Ag  0.500  0.500  0.000
Ag  0.249  0.746  0.498
Ag  0.751  0.254  0.502
In  0.000  0.000  0.000

Total magnetization: 0.000 μB per atom
Crystal system: monoclinic
Density of states at the Fermi level: 1.0 states/eV/cell
Volume: 70.9 Å³ per cell
Formation energy from the elements: -0.04 eV/atom
Final energy: -13.1 eV per cell
Symmetry: C2/m, No. 12

***

No. 14
First-principles (GGA-PBEsol) data for a relaxed NiAs2SeN crystal, as listed in the Alexandria database.

Lattice parameters (Å, degrees): 4.128 4.260 4.260 90.00 90.00 90.00
Fractional positions:
Ni  0.500  0.500  0.500
As  0.000  0.000  0.500
As  0.000  0.500  0.000
Se  0.500  0.000  0.000
N  0.000  0.000  0.000

Total magnetization: 0.000 μB per atom
Crystal system: tetragonal
Formation energy from raw total energies: 79.2 kJ per mole of atoms
Density of states at the Fermi level: 2.8 states/eV/cell
Volume: 74.9 Å³ per cell
Final energy: -24.6 eV per cell
Symmetry: P4/mmm, No. 123

***

No. 15
First-principles (GGA-PBEsol) data for a relaxed AsOsBr2 crystal, as listed in the Alexandria database.

Lattice parameters (Å, degrees): 2.898 2.898 11.703 82.89 82.89 60.00
Fractional positions:
As  0.500  0.500  0.500
Os  0.000  0.000  0.000
Br  0.932  0.932  0.204
Br  0.068  0.068  0.796

Total magnetization: 0.000 μB per atom
Crystal system: trigonal
Formation energy from raw total energies: 65.2 kJ per mole of atoms
Density of states at the Fermi level: 2.7 states/eV/cell
Volume: 84.2 Å³ per cell
Final energy: -18.4 eV per cell
ΔE to the lowest computed polymorph: 0.262 eV per atom
Symmetry: R-3m, No. 166

***

No. 16
First-principles (GGA-PBEsol) data for a relaxed AuF5 crystal, as listed in the Alexandria database.

Lattice parameters (Å, degrees): 4.889 9.398 14.999 90.00 90.00 90.00
Fractional positions:
Au  0.074  0.148  0.145
Au  0.574  0.352  0.855
Au  0.426  0.648  0.355
Au  0.926  0.852  0.645
Au  0.926  0.852  0.855
Au  0.426  0.648  0.145
Au  0.574  0.352  0.645
Au  0.074  0.148  0.355
F  0.247  0.045  0.054
F  0.747  0.455  0.946
F  0.253  0.545  0.446
F  0.753  0.955  0.554
F  0.753  0.955  0.946
F  0.253  0.545  0.054
F  0.747  0.455  0.554
F  0.247  0.045  0.446
F  0.375  0.278  0.349
F  0.875  0.222  0.651
F  0.125  0.778  0.151
F  0.625  0.722  0.849
F  0.625  0.722  0.651
F  0.125  0.778  0.349
F  0.875  0.222  0.849
F  0.375  0.278  0.151
F  0.901  0.252  0.250
F  0.401  0.248  0.750
F  0.599  0.752  0.250
F  0.099  0.748  0.750
F  0.236  0.039  0.250
F  0.736  0.461  0.750
F  0.264  0.539  0.250
F  0.764  0.961  0.750
F  0.771  0.020  0.355
F  0.271  0.480  0.645
F  0.729  0.520  0.145
F  0.229  0.980  0.855
F  0.229  0.980  0.645
F  0.729  0.520  0.355
F  0.271  0.480  0.855
F  0.771  0.020  0.145
F  0.911  0.260  0.444
F  0.411  0.240  0.556
F  0.589  0.760  0.056
F  0.089  0.740  0.944
F  0.089  0.740  0.556
F  0.589  0.760  0.444
F  0.411  0.240  0.944
F  0.911  0.260  0.056

Total magnetization: 0.000 μB per atom
Crystal system: orthorhombic
Formation energy from raw total energies: -78.1 kJ per mole of atoms
Volume: 689.2 Å³ per cell
Final energy: -147.3 eV per cell
Symmetry: Pnma, No. 62

***

No. 17
First-principles (GGA-PBEsol) data for a relaxed Ca2AlAg crystal, as listed in the Alexandria database.

Lattice parameters (Å, degrees): 3.617 3.617 7.493 90.00 90.00 90.00
Fractional positions:
Ca  0.000  0.000  0.755
Ca  0.000  0.000  0.245
Al  0.500  0.500  0.500
Ag  0.500  0.500  0.000

Total magnetization: 0.000 μB per atom
Crystal system: tetragonal
Density of states at the Fermi level: 2.2 states/eV/cell
Volume: 98.0 Å³ per cell
Formation energy from the elements: -0.23 eV/atom
Final energy: -12.6 eV per cell
Symmetry: P4/mmm, No. 123

***

No. 18
First-principles (GGA-PBEsol) data for a relaxed NbInP2O crystal, as listed in the Alexandria database.

Lattice parameters (Å, degrees): 4.726 4.726 5.449 90.00 90.00 90.00
Fractional positions:
P  0.000  0.500  0.000
P  0.500  0.000  0.000
Nb  0.000  0.000  0.500
O  0.500  0.500  0.500
In  0.000  0.000  0.000

Total magnetization: 0.594 μB per atom
Crystal system: tetragonal
Formation energy from raw total energies: 192.2 kJ per mole of atoms
Density of states at the Fermi level: 5.9 states/eV/cell
Volume: 121.7 Å³ per cell
Final energy: -20.7 eV per cell
Symmetry: P4/mmm, No. 123

***

No. 19
First-principles (GGA-PBEsol) data for a relaxed HfPtOF2 crystal, as listed in the Alexandria database.

Lattice parameters (Å, degrees): 4.042 4.096 4.096 90.00 90.00 90.00
Fractional positions:
Hf  0.000  0.000  0.000
O  0.500  0.000  0.000
Pt  0.500  0.500  0.500
F  0.000  0.000  0.500
F  0.000  0.500  0.000

Total magnetization: 0.050 μB per atom
Crystal system: tetragonal
Formation energy from raw total energies: -178.9 kJ per mole of atoms
Density of states at the Fermi level: 3.4 states/eV/cell
Volume: 67.8 Å³ per cell
Final energy: -35.8 eV per cell
Symmetry: P4/mmm, No. 123

***

No. 20
First-principles (GGA-PBEsol) data for a relaxed SiMo2P crystal, as listed in the Alexandria database.

Lattice parameters (Å, degrees): 4.227 3.018 4.226 90.00 90.00 90.00
Fractional positions:
Mo  0.000  0.000  0.000
Mo  0.500  0.000  0.500
P  0.500  0.500  0.000
Si  0.000  0.500  0.500

Total magnetization: 0.000 μB per atom
Crystal system: tetragonal
Formation energy from raw total energies: -28.4 kJ per mole of atoms
Density of states at the Fermi level: 4.8 states/eV/cell
Volume: 53.9 Å³ per cell
Final energy: -36.3 eV per cell
ΔE to the lowest computed polymorph: 0.232 eV per atom
Symmetry: P4/mmm, No. 123